# 1
{"formula": "PrHoSb", "functional": "PBE", "state": "optimized geometry", "formation_energy_uncorrected_kj_per_mol_atoms": -61, "cell": [[-2.0341, 2.0341, 5.3018], [2.0341, -2.0341, 5.3018], [2.0341, 2.0341, -5.3018]], "species": ["Pr", "Ho", "Sb"], "frac_coords": [[0.0000, 0.0000, 0.0000], [0.6949, 0.6949, 0.0000], [0.3333, 0.3333, 0.0000]]}



# 2
{"formula": "BaSrBr2", "functional": "PBE", "state": "optimized geometry", "polymorph_energy_mev_per_atom": 48, "formation_energy_uncorrected_kj_per_mol_atoms": -140, "cell": [[2.2519, 1.3001, 8.1214], [-2.2519, 1.3001, 8.1214], [0.0000, -2.6003, 8.1214]], "species": ["Ba", "Sr", "Br", "Br"], "frac_coords": [[0.0000, 0.0000, 0.0000], [0.5000, 0.5000, 0.5000], [0.2374, 0.2374, 0.2374], [0.7626, 0.7626, 0.7626]]}



# 3
{"formula": "Hf2V2ZnFe5", "functional": "PBE", "state": "optimized geometry", "delta_e_f_ev_per_atom": 0.06, "cell": [[9.4452, 0.0000, 0.0000], [0.0000, 9.4452, 0.0000], [0.0000, 0.0000, 3.0988]], "species": ["Hf", "Hf", "Hf", "Hf", "V", "V", "V", "V", "Zn", "Zn", "Fe", "Fe", "Fe", "Fe", "Fe", "Fe", "Fe", "Fe", "Fe", "Fe"], "frac_coords": [[0.1762, 0.3238, 0.0000], [0.3238, 0.8238, 0.0000], [0.6762, 0.1762, 0.0000], [0.8238, 0.6762, 0.0000], [0.1235, 0.6235, 0.0000], [0.3765, 0.1235, 0.0000], [0.6235, 0.8765, 0.0000], [0.8765, 0.3765, 0.0000], [0.0000, 0.0000, 0.0000], [0.5000, 0.5000, 0.0000], [0.0000, 0.5000, 0.5000], [0.0609, 0.7930, 0.5000], [0.2070, 0.0609, 0.5000], [0.2930, 0.5609, 0.5000], [0.4391, 0.2930, 0.5000], [0.5000, 0.0000, 0.5000], [0.5609, 0.7070, 0.5000], [0.7070, 0.4391, 0.5000], [0.7930, 0.9391, 0.5000], [0.9391, 0.2070, 0.5000]]}



# 4
{"formula": "PmCd3Pt3", "functional": "PBE", "state": "optimized geometry", "delta_e_f_ev_per_atom": 0.27, "cell": [[7.3101, 0.0000, 0.0000], [0.0000, 7.3101, 0.0000], [0.0000, 0.0000, 7.3101]], "species": ["Pm", "Pm", "Cd", "Cd", "Cd", "Cd", "Cd", "Cd", "Pt", "Pt", "Pt", "Pt", "Pt", "Pt"], "frac_coords": [[0.0000, 0.0000, 0.0000], [0.5000, 0.5000, 0.5000], [0.0000, 0.2500, 0.5000], [0.0000, 0.7500, 0.5000], [0.2500, 0.5000, 0.0000], [0.5000, 0.0000, 0.2500], [0.5000, 0.0000, 0.7500], [0.7500, 0.5000, 0.0000], [0.0000, 0.5000, 0.2500], [0.0000, 0.5000, 0.7500], [0.2500, 0.0000, 0.5000], [0.5000, 0.2500, 0.0000], [0.5000, 0.7500, 0.0000], [0.7500, 0.0000, 0.5000]]}



# 5
{"formula": "Sm4TlSb2Se", "functional": "PBE", "state": "optimized geometry", "formation_energy_uncorrected_kj_per_mol_atoms": -106, "cell": [[7.4986, 0.0000, 0.0000], [0.0000, 4.3707, 0.0000], [-2.5479, 0.0000, 7.3774]], "species": ["Sm", "Sm", "Sm", "Sm", "Tl", "Sb", "Sb", "Se"], "frac_coords": [[0.2458, 0.0000, 0.2424], [0.2495, 0.5000, 0.7603], [0.7505, 0.5000, 0.2397], [0.7542, 0.0000, 0.7576], [0.0000, 0.0000, 0.5000], [0.5000, 0.0000, 0.0000], [0.5000, 0.5000, 0.5000], [0.0000, 0.5000, 0.0000]]}



# 6
{"formula": "CeAl4Au3", "functional": "PBE", "state": "optimized geometry", "delta_e_f_ev_per_atom": -0.59, "cell": [[4.2734, 0.0000, 0.0000], [0.0000, 4.2734, 0.0000], [0.0000, 0.0000, 8.7257]], "species": ["Ce", "Al", "Al", "Al", "Al", "Au", "Au", "Au"], "frac_coords": [[0.0000, 0.0000, 0.0000], [0.0000, 0.5000, 0.3252], [0.0000, 0.5000, 0.6748], [0.5000, 0.0000, 0.3252], [0.5000, 0.0000, 0.6748], [0.0000, 0.0000, 0.5000], [0.5000, 0.5000, 0.1574], [0.5000, 0.5000, 0.8426]]}



# 7
{"formula": "NdUTe2", "functional": "PBE", "state": "optimized geometry", "polymorph_energy_mev_per_atom": 413, "formation_energy_uncorrected_kj_per_mol_atoms": -42, "cell": [[2.0393, 1.1774, 10.1918], [-2.0393, 1.1774, 10.1918], [0.0000, -2.3548, 10.1918]], "species": ["Nd", "U", "Te", "Te"], "frac_coords": [[0.0000, 0.0000, 0.0000], [0.5000, 0.5000, 0.5000], [0.1017, 0.1017, 0.1017], [0.8983, 0.8983, 0.8983]]}



# 8
{"formula": "Sc2CrSI", "functional": "PBE", "state": "optimized geometry", "formation_energy_uncorrected_kj_per_mol_atoms": -27, "cell": [[5.0016, 0.0000, 0.0000], [0.0000, 5.0016, 0.0000], [0.0000, 0.0000, 4.3883]], "species": ["Sc", "Sc", "Cr", "S", "I"], "frac_coords": [[0.0000, 0.5000, 0.0000], [0.5000, 0.0000, 0.0000], [0.0000, 0.0000, 0.5000], [0.0000, 0.0000, 0.0000], [0.5000, 0.5000, 0.5000]]}



# 9
{"formula": "AcSm2YHo", "functional": "PBE", "state": "optimized geometry", "delta_e_f_ev_per_atom": 0.36, "cell": [[4.2577, -6.0503, 0.0000], [4.2577, 6.0503, 0.0000], [0.0000, 0.0000, 7.3307]], "species": ["Ac", "Ac", "Sm", "Sm", "Sm", "Sm", "Y", "Y", "Ho", "Ho"], "frac_coords": [[0.2488, 0.7512, 0.7500], [0.7512, 0.2488, 0.2500], [0.3078, 0.3078, 0.0000], [0.3078, 0.3078, 0.5000], [0.6922, 0.6922, 0.0000], [0.6922, 0.6922, 0.5000], [0.0393, 0.9607, 0.2500], [0.9607, 0.0393, 0.7500], [0.3012, 0.6988, 0.2500], [0.6988, 0.3012, 0.7500]]}



# 10
{"formula": "CdHg14Pb", "functional": "PBE", "state": "optimized geometry", "delta_e_f_ev_per_atom": 0.02, "cell": [[11.0185, 0.0000, 0.0000], [0.0000, 3.3861, 5.8377], [0.0000, -3.3861, 5.8377]], "species": ["Cd", "Hg", "Hg", "Hg", "Hg", "Hg", "Hg", "Hg", "Hg", "Hg", "Hg", "Hg", "Hg", "Hg", "Hg", "Pb"], "frac_coords": [[0.0000, 0.0000, 0.0000], [0.0000, 0.4956, 0.9712], [0.0000, 0.9712, 0.4956], [0.2515, 0.2053, 0.2053], [0.2553, 0.1952, 0.7111], [0.2553, 0.7111, 0.1952], [0.2593, 0.7003, 0.7003], [0.5000, 0.0420, 0.5403], [0.5000, 0.0446, 0.0446], [0.5000, 0.5357, 0.5357], [0.5000, 0.5403, 0.0420], [0.7407, 0.7003, 0.7003], [0.7447, 0.1952, 0.7111], [0.7447, 0.7111, 0.1952], [0.7485, 0.2053, 0.2053], [0.0000, 0.4714, 0.4714]]}



# 11
{"formula": "Ni2Mo2Pt", "functional": "PBE", "state": "optimized geometry", "delta_e_f_ev_per_atom": -0.13, "polymorph_energy_mev_per_atom": 0, "cell": [[4.6441, 0.0000, 0.0000], [0.0000, 4.3018, 0.0000], [-2.2781, 0.0000, 6.9143]], "species": ["Ni", "Ni", "Ni", "Ni", "Mo", "Mo", "Mo", "Mo", "Pt", "Pt"], "frac_coords": [[0.1132, 0.2500, 0.0999], [0.3371, 0.2500, 0.4921], [0.6629, 0.7500, 0.5079], [0.8868, 0.7500, 0.9001], [0.2654, 0.7500, 0.6864], [0.4681, 0.7500, 0.1022], [0.5319, 0.2500, 0.8978], [0.7346, 0.2500, 0.3136], [0.0737, 0.7500, 0.2965], [0.9263, 0.2500, 0.7035]]}



# 12
{"formula": "NiMoIr2", "functional": "PBE", "state": "optimized geometry", "delta_e_f_ev_per_atom": -0.21, "polymorph_energy_mev_per_atom": 50, "cell": [[-1.9308, 1.9308, 3.7519], [1.9308, -1.9308, 3.7519], [1.9308, 1.9308, -3.7519]], "species": ["Ni", "Mo", "Ir", "Ir"], "frac_coords": [[0.0000, 0.0000, 0.0000], [0.5000, 0.5000, 0.0000], [0.2500, 0.7500, 0.5000], [0.7500, 0.2500, 0.5000]]}



# 13
{"formula": "RbInCuBr6", "functional": "PBE", "state": "optimized geometry", "formation_energy_uncorrected_kj_per_mol_atoms": -81, "cell": [[6.7671, 0.0000, 0.0000], [-2.6908, 6.3598, 0.0000], [-0.7870, -0.6819, 7.5659]], "species": ["Rb", "In", "Cu", "Br", "Br", "Br", "Br", "Br", "Br"], "frac_coords": [[0.0000, 0.0000, 0.0000], [0.6219, 0.3397, 0.4903], [0.2582, 0.6653, 0.5284], [0.3120, 0.4352, 0.2976], [0.3473, 0.0228, 0.6750], [0.5513, 0.6240, 0.7219], [0.5849, 0.0598, 0.2365], [0.9383, 0.6702, 0.3451], [0.9598, 0.3841, 0.7224]]}



# 14
{"formula": "ZrAs2Ru", "functional": "PBE", "state": "optimized geometry", "delta_e_f_ev_per_atom": -0.40, "polymorph_energy_mev_per_atom": 207, "cell": [[3.1841, 0.0000, 0.0000], [0.0000, 3.9626, 0.0000], [-0.0106, 0.0000, 5.6027]], "species": ["Zr", "As", "As", "Ru"], "frac_coords": [[0.0000, 0.0000, 0.0000], [0.4968, 0.5000, 0.7543], [0.5032, 0.5000, 0.2457], [0.5000, 0.0000, 0.5000]]}



# 15
{"formula": "LiRhW3", "functional": "PBE", "state": "optimized geometry", "delta_e_f_ev_per_atom": 1.31, "polymorph_energy_mev_per_atom": 0, "cell": [[4.1956, 0.0000, 0.0000], [0.0000, 4.1956, 0.0000], [0.0000, 0.0000, 4.1956]], "species": ["Li", "Rh", "W", "W", "W"], "frac_coords": [[0.0000, 0.0000, 0.0000], [0.5000, 0.5000, 0.5000], [0.0000, 0.0000, 0.5000], [0.0000, 0.5000, 0.0000], [0.5000, 0.0000, 0.0000]]}



# 16
{"formula": "YTmPd14", "functional": "PBE", "state": "optimized geometry", "delta_e_f_ev_per_atom": -0.42, "cell": [[5.7324, 0.0000, 0.0000], [0.0000, 5.7324, 0.0000], [0.0000, 0.0000, 8.0053]], "species": ["Y", "Tm", "Pd", "Pd", "Pd", "Pd", "Pd", "Pd", "Pd", "Pd", "Pd", "Pd", "Pd", "Pd", "Pd", "Pd"], "frac_coords": [[0.0000, 0.0000, 0.0000], [0.5000, 0.5000, 0.0000], [0.0000, 0.0000, 0.5000], [0.0000, 0.5000, 0.0000], [0.0000, 0.5000, 0.5000], [0.2512, 0.2512, 0.2577], [0.2512, 0.2512, 0.7423], [0.2512, 0.7488, 0.2577], [0.2512, 0.7488, 0.7423], [0.5000, 0.0000, 0.0000], [0.5000, 0.0000, 0.5000], [0.5000, 0.5000, 0.5000], [0.7488, 0.2512, 0.2577], [0.7488, 0.2512, 0.7423], [0.7488, 0.7488, 0.2577], [0.7488, 0.7488, 0.7423]]}



# 17
{"formula": "Zr2Sc", "functional": "PBE", "state": "optimized geometry", "delta_e_f_ev_per_atom": -0.02, "cell": [[1.6218, -8.5034, 0.0000], [1.6218, 8.5034, 0.0000], [0.0000, 0.0000, 5.1363]], "species": ["Zr", "Zr", "Zr", "Zr", "Sc", "Sc"], "frac_coords": [[0.0555, 0.9445, 0.7500], [0.3915, 0.6085, 0.7500], [0.6085, 0.3915, 0.2500], [0.9445, 0.0555, 0.2500], [0.2799, 0.7201, 0.2500], [0.7201, 0.2799, 0.7500]]}



# 18
{"formula": "Sr3NiOs", "functional": "PBE", "state": "optimized geometry", "delta_e_f_ev_per_atom": 0.83, "polymorph_energy_mev_per_atom": 0, "cell": [[5.6846, 0.0000, 0.0000], [0.0000, 5.6846, 0.0000], [0.0000, 0.0000, 5.6846]], "species": ["Sr", "Sr", "Sr", "Ni", "Os"], "frac_coords": [[0.0000, 0.0000, 0.5000], [0.0000, 0.5000, 0.0000], [0.5000, 0.0000, 0.0000], [0.5000, 0.5000, 0.5000], [0.0000, 0.0000, 0.0000]]}



# 19
{"formula": "KIn2I4", "functional": "PBE", "state": "optimized geometry", "polymorph_energy_mev_per_atom": 0, "formation_energy_uncorrected_kj_per_mol_atoms": -65, "cell": [[5.0358, 0.0000, 0.0000], [-0.0038, 7.2473, 0.0000], [-2.5073, -2.1310, 8.2432]], "species": ["K", "In", "In", "I", "I", "I", "I"], "frac_coords": [[0.0000, 0.0000, 0.0000], [0.2702, 0.3054, 0.5417], [0.7298, 0.6946, 0.4583], [0.1114, 0.5108, 0.2198], [0.3493, 0.9510, 0.6989], [0.6507, 0.0490, 0.3011], [0.8886, 0.4892, 0.7802]]}



# 20
{"formula": "La3NdRu", "functional": "PBE", "state": "optimized geometry", "delta_e_f_ev_per_atom": -0.12, "polymorph_energy_mev_per_atom": 42, "cell": [[7.8922, 0.0000, 0.0000], [0.0000, 6.7363, 0.0000], [0.0000, 0.0000, 6.5304]], "species": ["La", "La", "La", "La", "La", "La", "Nd", "Nd", "Ru", "Ru"], "frac_coords": [[0.0000, 0.1568, 0.0000], [0.2485, 0.6756, 0.9961], [0.2515, 0.3244, 0.4961], [0.5000, 0.8432, 0.5000], [0.7485, 0.3244, 0.4961], [0.7515, 0.6756, 0.9961], [0.0000, 0.8385, 0.4982], [0.5000, 0.1615, 0.9982], [0.0000, 0.4900, 0.2418], [0.5000, 0.5100, 0.7418]]}



| no. | electronic total energy (Ry per atom) | M_tot (μB per cell) |
| --- | --- | --- |
| 1 | -0.377 | 0.6 |
| 2 | -0.235 | 0.0 |
| 3 | -0.596 | 0.0 |
| 4 | -0.249 | 0.0 |
| 5 | -0.383 | 0.0 |
| 6 | -0.325 | 0.9 |
| 7 | -0.442 | 3.1 |
| 8 | -0.432 | 2.1 |
| 9 | -0.335 | 0.0 |
| 10 | -0.039 | 0.0 |
| 11 | -0.587 | 0.0 |
| 12 | -0.647 | 0.0 |
| 13 | -0.207 | 1.0 |
| 14 | -0.528 | 0.0 |
| 15 | -0.611 | 0.0 |
| 16 | -0.415 | 0.0 |
| 17 | -0.575 | 0.0 |
| 18 | -0.263 | 0.1 |
| 19 | -0.184 | 0.0 |
| 20 | -0.433 | 0.0 |